VASP calculation (GGA-PBE) on a geometry-optimized KSrMnBr6 structure.

extended XYZ file:
```
18
Lattice="-1.598 -1.029 -7.202 2.338 -5.726 4.151 -13.145 -2.947 3.338" Properties=species:S:1:pos:R:3 pbc="T T T"
K 0.000 0.000 0.000
K -6.572 -1.473 1.669
Sr -2.260 -4.897 1.201
Sr -10.145 -4.805 -0.914
Mn -3.573 -3.331 -2.583
Mn -8.833 -6.370 2.870
Br -1.471 -4.570 -1.738
Br -2.560 -3.357 -4.958
Br -6.740 -7.686 3.614
Br -9.845 -6.345 5.245
Br -4.554 -3.429 -0.197
Br -4.829 -5.520 -3.126
Br -10.051 -8.606 2.440
Br -5.666 -2.015 -3.326
Br -7.576 -4.181 3.413
Br -2.355 -1.096 -2.153
Br -7.851 -6.273 0.485
Br -10.935 -5.132 2.026
```

## Properties
ρ: 3.3 Mg/m³
Crystal system: trigonal
E_form (uncorrected): -1353 meV/atom